Material: ZnTe2WO
Method: DFT, GGA+U
State: relaxed

Values from the calculation:
SG	P4/mmm, No. 123
E	-17.8	eV for the cell shown

Geometry as CIF:
```
data_ZnTe2WO
_space_group_name_H-M_alt 'P 1'
_space_group_IT_number 1
_cell_length_a 5.593
_cell_length_b 3.599
_cell_length_c 5.593
_cell_angle_alpha 90.00
_cell_angle_beta 90.00
_cell_angle_gamma 90.00
loop_
_space_group_symop_operation_xyz
'x,y,z'
loop_
_atom_site_label
_atom_site_fract_x
_atom_site_fract_y
_atom_site_fract_z
O1 0.000 0.500 0.000
Zn1 0.000 0.000 0.000
Te1 0.500 0.000 0.000
Te2 0.000 0.000 0.500
W1 0.500 0.500 0.500
```


Material: ZnTeWO2
Method: DFT, GGA+U
State: relaxed

Values from the calculation:
SG	P4/mmm, No. 123
E	-26.3	eV for the cell shown

Geometry as CIF:
```
data_ZnTeWO2
_space_group_name_H-M_alt 'P 1'
_space_group_IT_number 1
_cell_length_a 3.923
_cell_length_b 6.139
_cell_length_c 3.923
_cell_angle_alpha 90.00
_cell_angle_beta 90.00
_cell_angle_gamma 90.00
loop_
_space_group_symop_operation_xyz
'x,y,z'
loop_
_atom_site_label
_atom_site_fract_x
_atom_site_fract_y
_atom_site_fract_z
Zn1 0.500 0.500 0.500
O1 0.500 0.000 0.000
O2 0.000 0.000 0.500
Te1 0.000 0.500 0.000
W1 0.000 0.000 0.000
```